(1)
KTa4Co: relaxed, GGA-PBE.

Cell and atoms, written as CIF:
```
data_KTa4Co
_chemical_formula_sum 'K4 Ta16 Co4'
_space_group_name_H-M_alt 'F -4 3 m'
_space_group_IT_number 216
_space_group_name_Hall 'F -4 2 3'
_cell_length_a 7.8944
_cell_length_b 7.8944
_cell_length_c 7.8944
_cell_angle_alpha 90.00
_cell_angle_beta 90.00
_cell_angle_gamma 90.00
loop_
_atom_site_label
_atom_site_fract_x
_atom_site_fract_y
_atom_site_fract_z
_atom_site_occupancy
K1 0.0000 0.0000 0.0000 1
Ta1 0.1245 0.1245 0.6245 1
Co1 0.2500 0.2500 0.2500 1
```

The final energy is -8.0513 eV per atom. The value obtained for the calculated formation energy is 1.218 eV/atom. The calculation puts the total moment at 0.4 μB/f.u. As for the density of states at the Fermi level: 36.14 states/eV per cell.

---

(2)
K2TaCo: relaxed, GGA-PBE.

Cell and atoms, written as CIF:
```
data_K2TaCo
_chemical_formula_sum 'K4 Ta2 Co2'
_space_group_name_H-M_alt 'C 1 2/m 1'
_space_group_IT_number 12
_cell_length_a 21.1924
_cell_length_b 3.1038
_cell_length_c 3.8174
_cell_angle_alpha 90.00
_cell_angle_beta 100.22
_cell_angle_gamma 90.00
loop_
_space_group_symop_operation_xyz
'x,y,z'
'-x,-y,-z'
'-x,y,-z'
'x,-y,z'
'x+1/2,y+1/2,z'
'-x+1/2,-y+1/2,-z'
'-x+1/2,y+1/2,-z'
'x+1/2,-y+1/2,z'
loop_
_atom_site_label
_atom_site_fract_x
_atom_site_fract_y
_atom_site_fract_z
_atom_site_occupancy
K1 0.1490 0.0000 0.1474 1
Ta1 0.0000 0.0000 0.5000 1
Co1 0.0000 0.5000 0.0000 1
```

The final energy is -4.6362 eV per atom. The value obtained for the calculated formation energy is 0.652 eV/atom. The calculation puts the total moment at 0.0 μB/f.u. As for the density of states at the Fermi level: 6.88 states/eV per cell. The relative energy among the computed polymorphs is 24 meV per atom.

---

(3)
KTaCo3: relaxed, GGA-PBE.

Cell and atoms, written as CIF:
```
data_KTaCo3
_chemical_formula_sum 'K1 Ta1 Co3'
_space_group_name_H-M_alt 'P m -3 m'
_space_group_IT_number 221
_space_group_name_Hall '-P 4 2 3'
_cell_length_a 4.2583
_cell_length_b 4.2583
_cell_length_c 4.2583
_cell_angle_alpha 90.00
_cell_angle_beta 90.00
_cell_angle_gamma 90.00
loop_
_atom_site_label
_atom_site_fract_x
_atom_site_fract_y
_atom_site_fract_z
_atom_site_occupancy
K1 0.0000 0.0000 0.0000 1
Ta1 0.5000 0.5000 0.5000 1
Co1 0.0000 0.0000 0.5000 1
```

The final energy is -4.4791 eV per atom. The value obtained for the calculated formation energy is 2.374 eV/atom. The calculation puts the total moment at 0.0 μB/f.u. As for the density of states at the Fermi level: 7.54 states/eV per cell. The relative energy among the computed polymorphs is 1097 meV per atom.